Crystalline K2UTe5As at its relaxed geometry, computed with PBE.

a = 10.7674 Å, b = 10.7674 Å, c = 14.3110 Å
α = 90.00°, β = 90.00°, γ = 155.08°
With the nearest neighbours (Å) after each atom.
Sites, in units of the cell vectors:
K: 0.1106 0.8894 0.5000  6 Te 3.55-3.72
K: 0.1248 0.8752 0.8504  5 Te 3.57-3.70
K: 0.8752 0.1248 0.3504  5 Te 3.57-3.70
K: 0.8894 0.1106 0.0000  6 Te 3.55-3.72
U: 0.1980 0.8020 0.2100  6 Te 2.86-3.12
U: 0.8020 0.1980 0.7100  6 Te 2.86-3.12
Te: 0.0527 0.9473 0.2161  2 As 2.91, 1 U 3.06
Te: 0.3005 0.6995 0.8442  2 U 3.01
Te: 0.3140 0.6860 0.5653  1 As 2.71
Te: 0.3312 0.6688 0.1700  1 U 2.86
Te: 0.4927 0.5073 0.4281  1 As 2.61
Te: 0.5073 0.4927 0.9281  1 As 2.61
Te: 0.6688 0.3312 0.6700  1 U 2.86
Te: 0.6860 0.3140 0.0653  1 As 2.71
Te: 0.6995 0.3005 0.3442  2 U 3.01
Te: 0.9473 0.0527 0.7161  2 As 2.91, 1 U 3.06
As: 0.4413 0.5587 0.5941  4 Te 2.61-2.91
As: 0.5587 0.4413 0.0941  4 Te 2.61-2.91

* symmetry: Cmc2_1 (36)
* total energy: -4.33 eV/atom
* uncorrected formation energy: -0.572 eV/atom